(1)
14
Lattice="5.067 0.000 0.000 0.000 5.067 0.000 0.000 0.000 17.805" Properties=species:S:1:pos:R:3 comment="Pr4Y2N PBE-GGA relaxed" e_form_raw_mev_per_atom=-165.4 rho_g_cm3=5.5 total_magnetization_mub_per_cell=0.00 space_group="I4/mmm, No. 139" pbc="T T T"
Pr 0.000 0.000 2.418
Pr 0.000 0.000 15.387
Pr 0.000 2.533 0.000
Pr 0.000 2.533 8.902
Pr 2.533 0.000 0.000
Pr 2.533 0.000 8.902
Pr 2.533 2.533 6.484
Pr 2.533 2.533 11.321
Y 0.000 0.000 5.996
Y 0.000 0.000 11.809
Y 2.533 2.533 2.906
Y 2.533 2.533 14.899
N 0.000 0.000 0.000
N 2.533 2.533 8.902

(2)
12
Lattice="6.184 0.000 0.000 0.000 6.184 0.000 0.000 0.000 6.184" Properties=species:S:1:pos:R:3 comment="PrYN PBE-GGA relaxed" e_above_lowest_polymorph_ev_per_atom=0.634 e_form_raw_mev_per_atom=-287.9 rho_g_cm3=6.8 total_magnetization_mub_per_cell=0.00 space_group="F-43m, No. 216" pbc="T T T"
Pr 0.000 0.000 0.000
Pr 0.000 3.092 3.092
Pr 3.092 0.000 3.092
Pr 3.092 3.092 0.000
Y 0.000 0.000 3.092
Y 0.000 3.092 0.000
Y 3.092 0.000 0.000
Y 3.092 3.092 3.092
N 1.546 1.546 4.638
N 1.546 4.638 1.546
N 4.638 1.546 1.546
N 4.638 4.638 4.638

(3)
16
Lattice="6.305 0.000 0.000 0.000 7.288 0.000 -2.099 0.000 5.944" Properties=species:S:1:pos:R:3 comment="Pr3YN4 PBE-GGA relaxed" e_form_raw_mev_per_atom=-1365.5 rho_g_cm3=6.9 total_magnetization_mub_per_cell=0.00 space_group="P2/c, No. 13" pbc="T T T"
Pr -0.525 0.904 1.486
Pr -1.574 2.704 4.458
Pr -0.525 4.584 1.486
Pr -1.574 6.384 4.458
Pr 2.628 2.707 1.486
Pr 1.578 4.581 4.458
Y 1.578 0.909 4.458
Y 2.628 6.379 1.486
N 0.536 2.662 3.009
N 1.585 4.626 0.037
N -0.463 0.902 5.931
N 0.586 6.386 2.959
N 3.619 0.902 2.985
N 4.669 6.386 0.013
N 2.620 2.662 5.907
N 3.670 4.626 2.935

| no. | DOS at the Fermi energy (states/eV per cell) | total DFT energy (no corrections) (eV per atom) |
| --- | --- | --- |
| 1 | 19.888 | -5.933 |
| 2 | 4.988 | -6.811 |
| 3 | 1.621 | -8.129 |